Record 1
# Nd6TmIn

Crystalline Nd6TmIn at its relaxed geometry (PBE-GGA, Alexandria).

The structure in extended XYZ format:
```
8
Lattice="5.0307 0.0000 0.0000 0.0000 5.0307 0.0000 0.0000 0.0000 10.2841" Properties=species:S:1:pos:R:3 pbc="T T T"
Nd 0.0000 2.5153 7.7722
Tm 0.0000 0.0000 5.1421
Nd 2.5153 2.5153 5.1421
Nd 2.5153 0.0000 2.5120
Nd 2.5153 2.5153 0.0000
In 0.0000 0.0000 0.0000
Nd 0.0000 2.5153 2.5120
Nd 2.5153 0.0000 7.7722
```

Formation energy from the elements (meV per atom): -122
DOS at the Fermi energy (states/eV per atom): 1.124
SG: P4/mmm, No. 123


Record 2
# Tb2Tm2C3

Crystalline Tb2Tm2C3 at its relaxed geometry (PBE-GGA, Alexandria).

The structure in extended XYZ format:
```
7
Lattice="-3.5192 -0.3053 -0.7185 -3.3222 0.1065 7.1838 -2.8755 4.7810 3.0094" Properties=species:S:1:pos:R:3 pbc="T T T"
C 0.0000 0.0000 0.0000
C -2.4447 1.1511 2.4423
Tb -4.4064 2.8504 2.2854
Tm -2.8404 0.3185 4.7338
Tm -6.8765 4.2637 4.7408
Tb -5.3105 1.7318 7.1892
C -7.2721 3.4311 7.0323
```

Formation energy from the elements (meV per atom): -222
DOS at the Fermi energy (states/eV per atom): 0.288
SG: C2/m, No. 12


Record 3
# NaNdSm2

Crystalline NaNdSm2 at its relaxed geometry (PBE-GGA, Alexandria).

The structure in extended XYZ format:
```
4
Lattice="3.5849 0.0000 0.0000 0.0000 3.5849 0.0000 0.0000 0.0000 10.8415" Properties=species:S:1:pos:R:3 pbc="T T T"
Sm 0.0000 0.0000 2.5458
Nd 1.7924 1.7924 0.0000
Na 1.7924 1.7924 5.4207
Sm 0.0000 0.0000 8.2957
```

Formation energy from the elements (meV per atom): 117
DOS at the Fermi energy (states/eV per atom): 1.043
SG: P4/mmm, No. 123
Energy relative to the lowest polymorph listed for this composition (eV per atom): 0.000


Record 4
# La2Er3Mg

Crystalline La2Er3Mg at its relaxed geometry (PBE-GGA, Alexandria).

The structure in extended XYZ format:
```
12
Lattice="5.7817 2.0215 -4.7162 -1.2786 7.6126 -0.4137 -1.8769 -1.0856 9.9016" Properties=species:S:1:pos:R:3 pbc="T T T"
Mg -1.4318 1.7213 6.9860
Er 0.9250 5.8753 -1.7575
Mg 4.0580 6.8272 -2.2144
La -0.5255 6.8806 5.3633
Er -0.2461 2.2162 3.9306
Er 1.7012 2.6732 6.5291
Er 3.1447 1.1643 3.6428
La 1.6745 5.1465 4.0377
La 0.9518 3.4020 0.7339
La 3.1517 1.6679 -0.5917
Er -0.5185 7.3842 1.1288
Er 2.8723 6.3323 0.8410
```

Formation energy from the elements (meV per atom): 120
DOS at the Fermi energy (states/eV per atom): 1.229
SG: C2/c, No. 15


Record 5
# NiHg2

Crystalline NiHg2 at its relaxed geometry (PBE-GGA, Alexandria).

The structure in extended XYZ format:
```
3
Lattice="-0.1642 -3.7485 -2.2191 3.0097 2.9922 -0.9955 2.2154 -1.4616 2.3050" Properties=species:S:1:pos:R:3 pbc="T T T"
Hg 0.1173 -0.0774 0.1220
Hg 2.2535 -2.3986 -0.3966
Ni 2.6902 0.2581 -0.6350
```

Formation energy from the elements (meV per atom): 341
DOS at the Fermi energy (states/eV per atom): 0.364
SG: P-3m1, No. 164


Record 6
# Tm3IrCl2O6

Crystalline Tm3IrCl2O6 at its relaxed geometry (PBE-GGA, Alexandria).

The structure in extended XYZ format:
```
12
Lattice="5.4050 0.0000 0.7143 0.0000 6.4348 0.0000 0.2095 -3.2174 5.6030" Properties=species:S:1:pos:R:3 pbc="T T T"
O 1.7773 1.6661 5.1557
O 1.7773 -1.6661 5.1557
Tm 0.0000 3.2174 0.0000
O 3.8372 1.5513 1.1616
Ir 2.7025 0.0000 0.3572
O 3.7829 3.2174 4.1682
O 1.8315 0.0000 2.1491
O 3.8372 4.8835 1.1616
Cl 0.8950 3.2174 2.4377
Tm 2.8072 -1.6087 3.1587
Tm 2.8072 1.6087 3.1587
Cl 4.7194 0.0000 3.8797
```

Formation energy without anion corrections (meV per atom): -2154
DOS at the Fermi energy (states/eV per atom): 0.303
SG: C2/m, No. 12


Record 7
# PaAg2I7

Crystalline PaAg2I7 at its relaxed geometry (PBE-GGA, Alexandria).

The structure in extended XYZ format:
```
20
Lattice="-13.4135 -3.5021 3.2665 -5.6537 0.0828 7.9235 -9.3247 8.3295 1.6906" Properties=species:S:1:pos:R:3 pbc="T T T"
I -19.4179 4.0633 7.8972
I -14.6894 4.6275 4.7788
Ag -13.0793 6.3974 6.0312
I -4.4490 0.9152 4.6509
I -12.3073 -2.3895 4.0498
Pa -6.6572 2.1220 6.3862
Ag -18.8184 3.7589 10.6864
I -18.1711 0.8992 10.3877
I -10.2208 4.0109 2.4930
I -8.9740 0.8469 4.9835
Ag -9.5735 1.1513 2.1942
I -16.1946 -1.2567 4.1290
I -23.9429 3.9949 8.2298
Pa -21.7346 2.7881 6.4945
I -21.9357 1.2581 9.3778
I -6.4562 3.6520 3.5029
I -13.7024 0.2826 8.1019
Ag -15.3126 -1.4873 6.8494
I -12.1973 6.1668 8.7517
I -16.0846 7.2996 8.8309
```

Formation energy without anion corrections (meV per atom): -572
SG: C2/c, No. 15


Record 8
# Cr2CdC

Crystalline Cr2CdC at its relaxed geometry (PBE-GGA, Alexandria).

The structure in extended XYZ format:
```
4
Lattice="0.0000 3.0236 3.0236 3.0236 0.0000 3.0236 3.0236 3.0236 0.0000" Properties=species:S:1:pos:R:3 pbc="T T T"
Cr 1.5118 1.5118 1.5118
Cr 4.5355 4.5355 4.5355
Cd 3.0236 3.0236 3.0236
C 0.0000 0.0000 0.0000
```

Formation energy from the elements (meV per atom): 1529
DOS at the Fermi energy (states/eV per atom): 0.627
SG: Fm-3m, No. 225


Taking the records one at a time from the top gives DFT total energy values of -4.60, -6.78, -3.76, -4.07, -1.79, -6.80, -3.18, -5.82 eV per atom.
Taking the records one at a time from the top gives calculated volume values of 260.3, 134.2, 139.3, 386.4, 57.9, 193.9, 957.4, 55.3 Å³/cell.